1.
# NaAcNi2P2 PBE optimized geometry
data_NaAcNi2P2
_chemical_formula_sum 'Na1 Ac1 Ni2 P2'
_cell_length_a 3.9278
_cell_length_b 3.9278
_cell_length_c 8.7558
_cell_angle_alpha 90.00
_cell_angle_beta 90.00
_cell_angle_gamma 120.00
_symmetry_space_group_name_H-M 'P -3 m 1'
_symmetry_Int_Tables_number 164
_symmetry_space_group_name_Hall '-P 3 2"'
loop_
_atom_site_label
_atom_site_type_symbol
_atom_site_fract_x
_atom_site_fract_y
_atom_site_fract_z
_atom_site_occupancy
Na1 Na 0.0000 0.0000 0.0000 1
Ac1 Ac 0.0000 0.0000 0.5000 1
Ni1 Ni 0.3333 0.6667 0.2423 1
P1 P 0.3333 0.6667 0.7537 1
# Total magnetic moment ... 0.000 μB per atom
# DOS at the Fermi energy ... 4.27 states/eV/f.u.
# Calculated total energy ... -31.95 eV per cell


2.
# NaAcNiSb PBE optimized geometry
data_NaAcNiSb
_chemical_formula_sum 'Na4 Ac4 Ni4 Sb4'
_cell_length_a 7.204
_cell_length_b 7.204
_cell_length_c 7.204
_cell_angle_alpha 90.00
_cell_angle_beta 90.00
_cell_angle_gamma 90.00
_symmetry_space_group_name_H-M 'F -4 3 m'
_symmetry_Int_Tables_number 216
_symmetry_space_group_name_Hall 'F -4 2 3'
loop_
_atom_site_label
_atom_site_type_symbol
_atom_site_fract_x
_atom_site_fract_y
_atom_site_fract_z
_atom_site_occupancy
Na1 Na 0.000 0.000 0.000 1
Ac1 Ac 0.250 0.250 0.750 1
Ni1 Ni 0.000 0.000 0.500 1
Sb1 Sb 0.250 0.250 0.250 1
# Total magnetic moment ... 0.000 μB per atom
# Formation energy (no corrections) ... -209 meV per atom
# DOS at the Fermi energy ... 2.01 states/eV/f.u.
# Calculated total energy ... -64.66 eV per cell


- Which formula does entry 2 have?
  NaAcNiSb